P:
Sc2Br2F | PBE | relaxed

Cell and atoms, written as extended XYZ:
```
5
Lattice="5.538 0.000 0.000 0.000 5.538 0.000 2.769 2.769 3.809" Properties=species:S:1:pos:R:3 pbc="T T T"
Sc 5.538 5.538 2.065
Br 5.538 2.769 1.905
F 0.000 0.000 0.000
Sc 2.769 2.769 1.745
Br 2.769 5.538 1.905
```

Properties
Symmetry: I4/mmm

Q:
Sc2Br2F | PBE | relaxed

Cell and atoms, written as extended XYZ:
```
10
Lattice="-6.687 -3.546 1.339 0.404 -3.368 -6.898 1.651 -2.598 1.365" Properties=species:S:1:pos:R:3 pbc="T T T"
Sc -1.460 -3.045 0.123
F 0.000 0.000 0.000
Br -5.453 -5.204 -3.308
Br -4.258 -2.779 -0.139
Sc -3.172 -6.467 -4.316
Br -0.830 -1.710 -2.250
Br -2.025 -4.135 -5.419
F -3.141 -3.457 -2.779
Sc -4.722 -5.497 -0.597
Sc 0.090 -4.015 -3.596
```

Properties
Symmetry: P4/mbm

Sorted by energy, starting with the most stable: P, Q.

P:
Sc2BrF | PBE | relaxed

Cell and atoms, written as extended XYZ:
```
4
Lattice="-1.253 -2.897 3.325 -4.289 -1.613 0.138 -0.827 -4.401 -0.985" Properties=species:S:1:pos:R:3 pbc="T T T"
Sc -1.592 -2.228 0.620
Sc -4.777 -6.683 1.859
F 0.000 0.000 0.000
Br -3.185 -4.455 1.239
```

Properties
Symmetry: Fm-3m

Q:
Sc2BrF | PBE | relaxed

Cell and atoms, written as extended XYZ:
```
4
Lattice="-3.713 6.946 0.714 -1.938 6.615 3.876 -0.192 7.851 0.930" Properties=species:S:1:pos:R:3 pbc="T T T"
F -2.922 10.707 2.760
Br 0.000 0.000 0.000
Sc -0.663 2.430 0.626
Sc -5.180 18.983 4.893
```

Properties
Symmetry: R-3m

R:
Sc2BrF | PBE | relaxed

Cell and atoms, written as extended XYZ:
```
4
Lattice="1.975 0.000 8.488 -0.988 1.711 8.488 -0.988 -1.711 8.488" Properties=species:S:1:pos:R:3 pbc="T T T"
F 0.000 0.000 0.000
Sc 0.000 0.000 23.452
Sc 0.000 0.000 2.011
Br 0.000 0.000 12.732
```

Properties
Symmetry: R-3m

Sorted by energy, starting with the most stable: R, Q, P.

P:
Se2BrF | PBE | relaxed

Cell and atoms, written as extended XYZ:
```
16
Lattice="6.969 0.000 1.813 0.000 6.883 0.000 2.806 0.000 10.857" Properties=species:S:1:pos:R:3 pbc="T T T"
Se 7.560 2.514 7.093
Br 5.060 1.661 4.062
F 9.152 4.692 12.434
Se 2.215 4.368 5.578
Se 4.057 2.576 6.193
F 2.025 1.250 5.665
Br 3.312 5.102 3.180
Se 6.157 0.927 1.664
Se 3.618 5.955 11.006
Br 6.463 1.781 9.491
Se 7.121 6.017 11.906
Br 4.715 5.222 8.609
Se 2.654 0.866 0.764
Se 5.718 4.307 6.478
F 0.623 2.191 0.236
F 7.750 5.632 7.006
```

Properties
Symmetry: P2_1/c

Q:
Se2BrF | PBE | relaxed

Cell and atoms, written as extended XYZ:
```
4
Lattice="6.108 5.793 3.535 7.639 3.028 3.980 7.841 4.530 1.172" Properties=species:S:1:pos:R:3 pbc="T T T"
F 10.794 6.676 4.343
Se 2.042 1.263 0.822
Br 0.000 0.000 0.000
Se 19.547 12.089 7.865
```

Properties
Symmetry: R-3m

Sorted by energy, starting with the most stable: P, Q.